VASP calculation (PBE) on Pr2Sm2Y4Th after structural relaxation.

Values from the calculation:
- Symmetry: C2/m

a b c (Å): 9.670 9.670 9.681
angles (deg): 115.43 115.43 21.74
Fractional positions:
Pr 0.163 0.163 0.003
Pr 0.837 0.837 0.997
Sm 0.352 0.352 0.336
Sm 0.648 0.648 0.664
Y 0.019 0.019 0.328
Y 0.316 0.316 0.665
Y 0.684 0.684 0.335
Y 0.981 0.981 0.672
Th 0.500 0.500 0.000

---

VASP calculation (PBE) on PrSmY2Th after structural relaxation.

Values from the calculation:
- Symmetry: P2/c

a b c (Å): 8.679 6.554 6.344
angles (deg): 90.00 99.86 90.00
Fractional positions:
Pr 0.000 0.169 0.250
Pr 0.000 0.831 0.750
Sm 0.500 0.000 0.000
Sm 0.500 0.000 0.500
Y 0.189 0.321 0.803
Y 0.189 0.679 0.303
Y 0.811 0.321 0.697
Y 0.811 0.679 0.197
Th 0.500 0.445 0.250
Th 0.500 0.555 0.750

---

VASP calculation (PBE) on Pr2SmY6Th3 after structural relaxation.

Values from the calculation:
- Symmetry: C2/m

a b c (Å): 6.254 6.254 11.822
angles (deg): 95.08 95.08 120.01
Fractional positions:
Pr 0.166 0.834 0.000
Pr 0.834 0.166 0.000
Sm 0.500 0.500 0.000
Y 0.081 0.414 0.743
Y 0.252 0.252 0.257
Y 0.414 0.081 0.743
Y 0.586 0.919 0.257
Y 0.748 0.748 0.743
Y 0.919 0.586 0.257
Th 0.000 0.000 0.500
Th 0.333 0.667 0.500
Th 0.667 0.333 0.500

---

VASP calculation (PBE) on PrSmThZr after structural relaxation.

Values from the calculation:
- Symmetry: F-43m

a b c (Å): 5.557 5.557 5.557
angles (deg): 60.00 60.00 60.00
Fractional positions:
Pr 0.000 0.000 0.000
Sm 0.750 0.750 0.750
Th 0.250 0.250 0.250
Zr 0.500 0.500 0.500

---

VASP calculation (PBE) on Pr5Sm4Tl after structural relaxation.

Values from the calculation:
- Energy relative to the lowest polymorph listed for this composition: 0.0000 eV/atom
- Symmetry: P4/mmm

a b c (Å): 4.288 4.288 18.405
angles (deg): 90.00 90.00 90.00
Fractional positions:
Pr 0.000 0.000 0.000
Pr 0.000 0.000 0.204
Pr 0.000 0.000 0.410
Pr 0.000 0.000 0.590
Pr 0.000 0.000 0.796
Sm 0.500 0.500 0.102
Sm 0.500 0.500 0.305
Sm 0.500 0.500 0.695
Sm 0.500 0.500 0.898
Tl 0.500 0.500 0.500

---

VASP calculation (PBE) on Pr7Sm2Tl2 after structural relaxation.

Values from the calculation:
- Symmetry: Imm2

a b c (Å): 11.645 11.645 11.645
angles (deg): 161.49 54.90 128.81
Fractional positions:
Pr 0.000 0.000 0.000
Pr 0.001 0.663 0.338
Pr 0.325 0.663 0.662
Pr 0.336 0.465 0.871
Pr 0.594 0.465 0.129
Pr 0.653 0.290 0.364
Pr 0.926 0.290 0.636
Sm 0.318 0.818 0.500
Sm 0.657 0.657 0.000
Tl 0.196 0.952 0.245
Tl 0.707 0.952 0.755

---

VASP calculation (PBE) on Pr7Sm12Tl after structural relaxation.

Values from the calculation:
- Symmetry: R-3

a b c (Å): 8.915 8.915 8.915
angles (deg): 89.21 89.21 89.21
Fractional positions:
Pr 0.000 0.000 0.000
Pr 0.118 0.266 0.712
Pr 0.266 0.712 0.118
Pr 0.288 0.882 0.734
Pr 0.712 0.118 0.266
Pr 0.734 0.288 0.882
Pr 0.882 0.734 0.288
Sm 0.040 0.379 0.158
Sm 0.158 0.040 0.379
Sm 0.165 0.613 0.497
Sm 0.379 0.158 0.040
Sm 0.387 0.503 0.835
Sm 0.497 0.165 0.613
Sm 0.503 0.835 0.387
Sm 0.613 0.497 0.165
Sm 0.621 0.842 0.960
Sm 0.835 0.387 0.503
Sm 0.842 0.960 0.621
Sm 0.960 0.621 0.842
Tl 0.500 0.500 0.500

---

VASP calculation (PBE) on Pr5Sm12Tl2 after structural relaxation.

Values from the calculation:
- Symmetry: C2/m

a b c (Å): 9.176 9.176 8.625
angles (deg): 92.54 92.54 62.27
Fractional positions:
Pr 0.000 0.000 0.000
Pr 0.233 0.233 0.082
Pr 0.311 0.311 0.494
Pr 0.689 0.689 0.506
Pr 0.767 0.767 0.918
Sm 0.038 0.670 0.264
Sm 0.079 0.079 0.384
Sm 0.183 0.568 0.837
Sm 0.330 0.962 0.736
Sm 0.432 0.817 0.163
Sm 0.446 0.446 0.181
Sm 0.554 0.554 0.819
Sm 0.568 0.183 0.837
Sm 0.670 0.038 0.264
Sm 0.817 0.432 0.163
Sm 0.921 0.921 0.616
Sm 0.962 0.330 0.736
Tl 0.314 0.686 0.500
Tl 0.686 0.314 0.500

---

It is found that the E_form values, taken in the order of the records, are 0.003; 0.307; 0.017; 0.228; 0.014; -0.031; 0.161; 0.005 eV per atom.